[1]
{"formula": "La2Tb6Dy3Sc", "functional": "PBE", "state": "relaxed", "cell": [[6.168, -0.002, 0.003], [-3.084, 5.341, 0.003], [-1.036, -1.793, 11.649]], "species": ["La", "La", "Tb", "Tb", "Tb", "Tb", "Tb", "Tb", "Dy", "Dy", "Dy", "Sc"], "frac_coords": [[0.334, 0.666, 0.000], [0.666, 0.334, 0.000], [0.916, 0.587, 0.748], [0.754, 0.754, 0.253], [0.084, 0.413, 0.252], [0.587, 0.916, 0.748], [0.246, 0.246, 0.747], [0.413, 0.084, 0.252], [0.166, 0.834, 0.500], [0.834, 0.166, 0.500], [0.500, 0.500, 0.500], [0.000, 0.000, 0.000]], "e_form_ev_per_atom": 0.029, "spacegroup": "No. 12", "volume_a3_per_cell": 383.79}



[2]
{"formula": "Mg2TaCo", "functional": "PBE", "state": "relaxed", "cell": [[3.328, 0.000, 0.000], [0.000, 4.195, -0.010], [0.000, 4.165, 4.651]], "species": ["Co", "Mg", "Mg", "Ta"], "frac_coords": [[0.000, 0.000, 0.500], [0.000, 0.000, 0.000], [0.500, 0.500, 0.000], [0.500, 0.500, 0.500]], "e_form_ev_per_atom": 0.255, "spacegroup": "No. 10", "volume_a3_per_cell": 65.07}